[1]
DFT (PBE-GGA) results for a relaxed AlCuW2N crystal.

## Properties
The uncorrected formation energy is 1.6757 eV per atom. The space-group type is P4/mmm, No. 123.

Unit cell a=4.8048 b=3.3173 c=4.8048 alpha=90.00 beta=90.00 gamma=90.00
Atoms (fractional coordinates):
1 N 0.0000 0.5000 0.0000
2 Cu 0.0000 0.0000 0.0000
3 W 0.0000 0.0000 0.5000
4 W 0.5000 0.0000 0.0000
5 Al 0.5000 0.5000 0.5000

[2]
DFT (PBE-GGA) results for a relaxed NaAl3Cu crystal.

## Properties
For the energy above the lowest structure with this stoichiometry, the calculation gives 0.0 kJ/mol of formula units. For the formation enthalpy at 0 K, the calculation gives 0.2253 eV per atom. The space-group type is Pm-3m, No. 221.

Unit cell a=4.6973 b=4.6973 c=4.6973 alpha=90.00 beta=90.00 gamma=90.00
Atoms (fractional coordinates):
1 Na 0.5000 0.5000 0.5000
2 Al 0.0000 0.5000 0.0000
3 Al 0.0000 0.0000 0.5000
4 Al 0.5000 0.0000 0.0000
5 Cu 0.0000 0.0000 0.0000

[3]
DFT (PBE-GGA) results for a relaxed NaAl2Cu2 crystal.

## Properties
For the energy above the lowest structure with this stoichiometry, the calculation gives 60.6 kJ/mol of formula units. For the formation enthalpy at 0 K, the calculation gives 0.0178 eV per atom. The space-group type is I4/mmm, No. 139.

Unit cell a=4.0681 b=4.0681 c=6.0965 alpha=70.51 beta=70.51 gamma=90.00
Atoms (fractional coordinates):
1 Na 0.0000 0.0000 0.0000
2 Al 0.7500 0.2500 0.5000
3 Al 0.2500 0.7500 0.5000
4 Cu 0.3856 0.3856 0.2287
5 Cu 0.6144 0.6144 0.7713

Electronic total energy for every record listed, in sequence, given in eV per atom: -6.738 -3.103 -3.381.
Size of the total moment for every record listed, in sequence, given in μB per formula unit: 0.00 0.00 0.00.